Below is a relaxed structure of Ba2SrCaCd, with properties calculated at the GGA-PBE level.

abc: 6.6768 6.1987 6.6768
angles: 90.00 90.00 90.00
Closest atoms and distances in Å follow each position.
Positions (direct):
Sr  0.5000  0.5000  0.5000  8 Ba 4.56, 4 Ca 4.72
Ca  0.0000  0.5000  0.0000  2 Cd 3.10
Ba  0.0000  0.0000  0.5000  2 Cd 3.34
Ba  0.5000  0.0000  0.0000  2 Cd 3.34
Cd  0.0000  0.0000  0.0000  2 Ca 3.10, 4 Ba 3.34

Summary:
mass density	3.09	Mg/m³
polymorph energy (0 for the lowest one)	0.0	meV per atom
spin magnetization	0.00	μB per cell